[1]
Material: CdCoCuPb
Method: DFT, GGA-PBE
State: optimized geometry

POSCAR file:
```
CdCoCuPb
1.0
0.000 3.244 3.244
3.244 0.000 3.244
3.244 3.244 0.000
Cd Co Cu Pb
1 1 1 1
direct
0.000 0.000 0.000
0.750 0.750 0.750
0.250 0.250 0.250
0.500 0.500 0.500
```

Results
Its density is 10.75 g/cm³. For the excess energy over the best structure of this formula in the dataset, the calculation gives 0 meV per atom.


[2]
Material: SrMg2GeAu
Method: DFT, GGA-PBE
State: optimized geometry

POSCAR file:
```
SrMg2GeAu
1.0
-2.238 2.238 5.931
2.238 -2.238 5.931
2.238 2.238 -5.931
Sr Mg Ge Au
1 2 1 1
direct
0.000 0.000 0.000
0.241 0.741 0.500
0.741 0.241 0.500
0.603 0.603 0.000
0.381 0.381 0.000
```

Results
Its density is 5.67 g/cm³. As for the raw total energy: -3.108 eV per atom.


[3]
Material: HoSiHO4
Method: DFT, GGA-PBE
State: optimized geometry

POSCAR file:
```
HoSiHO4
1.0
7.314 4.223 2.743
-7.314 4.223 2.743
0.000 -8.445 2.743
Ho Si H O
6 6 6 24
direct
0.003 0.228 0.769
0.228 0.769 0.003
0.302 0.767 0.618
0.618 0.302 0.767
0.767 0.618 0.302
0.769 0.003 0.228
0.161 0.966 0.371
0.371 0.161 0.966
0.452 0.594 0.888
0.594 0.888 0.452
0.888 0.452 0.594
0.966 0.371 0.161
0.114 0.974 0.654
0.293 0.328 0.573
0.328 0.573 0.293
0.573 0.293 0.328
0.654 0.114 0.974
0.974 0.654 0.114
0.067 0.091 0.371
0.067 0.786 0.145
0.071 0.667 0.683
0.091 0.371 0.067
0.092 0.472 0.390
0.098 0.843 0.466
0.145 0.067 0.786
0.257 0.507 0.886
0.371 0.067 0.091
0.390 0.092 0.472
0.425 0.426 0.697
0.426 0.697 0.425
0.466 0.098 0.843
0.472 0.390 0.092
0.476 0.785 0.885
0.507 0.886 0.257
0.667 0.683 0.071
0.683 0.071 0.667
0.697 0.425 0.426
0.785 0.885 0.476
0.786 0.145 0.067
0.843 0.466 0.098
0.885 0.476 0.785
0.886 0.257 0.507
```

Results
Its density is 5.06 g/cm³. For the excess energy over the best structure of this formula in the dataset, the calculation gives 55 meV per atom.


[4]
Material: PrGdSc2Ge2
Method: DFT, GGA-PBE
State: optimized geometry

POSCAR file:
```
PrGdSc2Ge2
1.0
-2.152 2.152 7.973
2.152 -2.152 7.973
2.152 2.152 -7.973
Pr Gd Sc Ge
1 1 2 2
direct
0.000 0.000 0.000
0.353 0.353 0.000
0.179 0.679 0.500
0.679 0.179 0.500
0.554 0.554 0.000
0.802 0.802 0.000
```

Results
Its density is 5.99 g/cm³. As for the raw total energy: -5.941 eV per atom.


[5]
Material: LaW
Method: DFT, GGA-PBE
State: optimized geometry

POSCAR file:
```
LaW
1.0
5.208 0.000 0.000
-2.604 4.510 0.000
0.000 0.000 4.906
La W
2 2
direct
0.333 0.667 0.250
0.667 0.333 0.750
0.000 0.000 0.000
0.000 0.000 0.500
```

Results
Its density is 9.30 g/cm³. For the excess energy over the best structure of this formula in the dataset, the calculation gives 0 meV per atom. The value obtained for the formation energy is 0.820 eV/atom.


[6]
Material: CoBiMoPt
Method: DFT, GGA-PBE
State: optimized geometry

POSCAR file:
```
CoBiMoPt
1.0
0.000 3.250 3.250
3.250 0.000 3.250
3.250 3.250 0.000
Co Bi Mo Pt
1 1 1 1
direct
0.000 0.000 0.000
0.750 0.750 0.750
0.250 0.250 0.250
0.500 0.500 0.500
```

Results
Its density is 13.52 g/cm³. For the excess energy over the best structure of this formula in the dataset, the calculation gives 151 meV per atom.


[7]
Material: FeCuReB
Method: DFT, GGA-PBE
State: optimized geometry

POSCAR file:
```
FeCuReB
1.0
0.000 2.796 2.796
2.796 0.000 2.796
2.796 2.796 0.000
Fe Cu Re B
1 1 1 1
direct
0.000 0.000 0.000
0.750 0.750 0.750
0.250 0.250 0.250
0.500 0.500 0.500
```

Results
Its density is 12.02 g/cm³. For the excess energy over the best structure of this formula in the dataset, the calculation gives 0 meV per atom.


[8]
Material: DyErAl2Ni4
Method: DFT, GGA-PBE
State: optimized geometry

POSCAR file:
```
DyErAl2Ni4
1.0
4.129 0.000 0.000
-2.064 3.576 0.000
0.000 0.000 8.821
Dy Er Al Ni
1 1 2 4
direct
0.000 0.000 0.000
0.667 0.333 0.500
0.333 0.667 0.252
0.333 0.667 0.748
0.000 0.000 0.316
0.000 0.000 0.684
0.667 0.333 0.188
0.667 0.333 0.812
```

Results
Its density is 7.89 g/cm³. As for the raw total energy: -5.463 eV per atom.


[9]
Material: HfBiNO
Method: DFT, GGA-PBE
State: optimized geometry

POSCAR file:
```
HfBiNO
1.0
3.434 0.000 0.000
0.000 7.653 0.000
0.000 0.000 6.072
Hf Bi N O
2 2 2 2
direct
0.000 0.131 0.000
0.000 0.869 0.500
0.500 0.454 0.529
0.500 0.546 0.029
0.500 0.257 0.914
0.500 0.743 0.414
0.000 0.080 0.320
0.000 0.920 0.820
```

Results
Its density is 8.69 g/cm³. For the excess energy over the best structure of this formula in the dataset, the calculation gives 0 meV per atom.


[10]
Material: Cs2SbPdBr6
Method: DFT, GGA-PBE
State: optimized geometry

POSCAR file:
```
Cs2SbPdBr6
1.0
0.000 5.538 5.538
5.538 0.000 5.538
5.538 5.538 0.000
Cs Sb Pd Br
2 1 1 6
direct
0.250 0.250 0.250
0.750 0.750 0.750
0.000 0.000 0.000
0.500 0.500 0.500
0.256 0.256 0.744
0.256 0.744 0.256
0.256 0.744 0.744
0.744 0.256 0.256
0.744 0.256 0.744
0.744 0.744 0.256
```

Results
Its density is 4.76 g/cm³. As for the raw total energy: -3.111 eV per atom.


[11]
Material: Hf4TlAuC2
Method: DFT, GGA-PBE
State: optimized geometry

POSCAR file:
```
Hf4TlAuC2
1.0
3.315 0.000 0.000
-1.657 2.871 0.000
0.000 0.000 14.510
Hf Tl Au C
4 1 1 2
direct
0.000 0.000 0.156
0.000 0.000 0.844
0.333 0.667 0.327
0.333 0.667 0.673
0.000 0.000 0.500
0.333 0.667 0.000
0.667 0.333 0.244
0.667 0.333 0.756
```

Results
Its density is 13.70 g/cm³. As for the raw total energy: -8.652 eV per atom.


[12]
Material: KLiFeOs
Method: DFT, GGA-PBE
State: optimized geometry

POSCAR file:
```
KLiFeOs
1.0
0.000 3.314 3.314
3.314 0.000 3.314
3.314 3.314 0.000
K Li Fe Os
1 1 1 1
direct
0.000 0.000 0.000
0.500 0.500 0.500
0.750 0.750 0.750
0.250 0.250 0.250
```

Results
Its density is 6.66 g/cm³. For the excess energy over the best structure of this formula in the dataset, the calculation gives 494 meV per atom.